## GaRhWO6 (GGA+U)

Data for a geometry-optimized GaRhWO6 structure. Values from VASP.

Quantum ESPRESSO input file:
```
&SYSTEM
  ibrav = 0, nat = 18, ntyp = 4
/
ATOMIC_SPECIES
Ga 69.72 Ga.upf
Rh 102.91 Rh.upf
W 183.84 W.upf
O 16.00 O.upf
CELL_PARAMETERS angstrom
5.099 0.000 0.000
-2.550 4.416 0.000
0.000 0.000 8.734
ATOMIC_POSITIONS angstrom
Ga 0.000 2.944 2.183
Ga 2.550 1.472 6.550
Rh 0.000 0.000 0.000
Rh 0.000 0.000 4.367
W 0.000 2.944 6.550
W 2.550 1.472 2.183
O -0.847 1.532 5.496
O -1.647 2.917 7.605
O 0.847 1.532 7.605
O -0.800 4.384 5.496
O 1.750 0.032 1.129
O 0.903 1.499 3.238
O 1.647 2.917 5.496
O 0.800 4.384 7.605
O 3.349 0.032 3.238
O 1.703 2.884 1.129
O 4.196 1.499 1.129
O 3.397 2.884 3.238
```

## Properties
Space group   No. 163
Electronic total energy   -6.714 eV/atom
Magnetization   0.0 μB/f.u.